No. 1
First-principles (PBE-GGA) data for a relaxed structure of TlCoAuS, as listed in Alexandria.

Output
The calculation puts the density of states at the Fermi level at 4.0 states/eV per cell. The value obtained for the formation energy (no corrections) is -190 meV per atom. The calculation puts the total moment at 1.83 μB per cell.

Structure (CIF):
```
data_TlCoAuS
_cell_length_a 3.8328
_cell_length_b 3.8328
_cell_length_c 11.5087
_cell_angle_alpha 90.00
_cell_angle_beta 90.00
_cell_angle_gamma 90.00
_symmetry_space_group_name_H-M 'P 4/n m m'
_symmetry_Int_Tables_number 129
loop_
_symmetry_equiv_pos_as_xyz
'x,y,z'
'-x,-y,-z'
'-y+1/2,x,z'
'y+1/2,-x,-z'
'-x+1/2,-y+1/2,z'
'x+1/2,y+1/2,-z'
'y,-x+1/2,z'
'-y,x+1/2,-z'
'x+1/2,-y,-z'
'-x+1/2,y,z'
'-y,-x,-z'
'y,x,z'
'-x,y+1/2,-z'
'x,-y+1/2,z'
'y+1/2,x+1/2,-z'
'-y+1/2,-x+1/2,z'
loop_
_atom_site_label
_atom_site_fract_x
_atom_site_fract_y
_atom_site_fract_z
_atom_site_occupancy
Tl1 0.2500 0.2500 0.2211 1
Co1 0.2500 0.7500 0.5000 1
Au1 0.2500 0.7500 0.0000 1
S1 0.2500 0.2500 0.5983 1
```

No. 2
First-principles (PBE-GGA) data for a relaxed structure of K3Pa3VN8, as listed in Alexandria.

Output
The calculation puts the density of states at the Fermi level at 24.5 states/eV per cell. The value obtained for the formation energy (no corrections) is -918 meV per atom. The calculation puts the total moment at 0.00 μB per cell.

Structure (CIF):
```
data_K3Pa3VN8
_cell_length_a 6.8617
_cell_length_b 6.8617
_cell_length_c 19.3914
_cell_angle_alpha 90.00
_cell_angle_beta 90.00
_cell_angle_gamma 120.00
_symmetry_space_group_name_H-M 'R -3 m'
_symmetry_Int_Tables_number 166
_symmetry_space_group_name_Hall '-R 3 2"'
loop_
_atom_site_label
_atom_site_fract_x
_atom_site_fract_y
_atom_site_fract_z
_atom_site_occupancy
K1 0.0000 0.5000 0.0000 1
Pa1 0.0000 0.5000 0.5000 1
V1 0.0000 0.0000 0.5000 1
N1 0.0000 0.0000 0.2229 1
N2 0.0254 0.5127 0.2182 1
```

No. 3
First-principles (PBE-GGA) data for a relaxed structure of PaBeFe2, as listed in Alexandria.

Output
The calculation puts the density of states at the Fermi level at 4.3 states/eV per cell. For the distance to the lowest polymorph of the same formula, the calculation gives 0.089 eV/atom. The calculation puts the total moment at 0.26 μB per cell. The calculation puts the formation energy at -1.90 kcal/mol of atoms.

Structure (CIF):
```
data_PaBeFe2
_cell_length_a 3.9530
_cell_length_b 3.9530
_cell_length_c 3.4290
_cell_angle_alpha 90.00
_cell_angle_beta 90.00
_cell_angle_gamma 90.00
_symmetry_space_group_name_H-M 'P 4/m m m'
_symmetry_Int_Tables_number 123
_symmetry_space_group_name_Hall '-P 4 2'
loop_
_atom_site_label
_atom_site_fract_x
_atom_site_fract_y
_atom_site_fract_z
_atom_site_occupancy
Pa1 0.0000 0.0000 0.0000 1
Be1 0.5000 0.5000 0.0000 1
Fe1 0.0000 0.5000 0.5000 1
```

No. 4
First-principles (PBE-GGA) data for a relaxed structure of HfTlS2, as listed in Alexandria.

Output
The calculation puts the density of states at the Fermi level at 12.3 states/eV per cell. The value obtained for the formation energy (no corrections) is -884 meV per atom. The calculation puts the total moment at 0.00 μB per cell.

Structure (CIF):
```
data_HfTlS2
_cell_length_a 8.1426
_cell_length_b 8.1426
_cell_length_c 6.5959
_cell_angle_alpha 90.00
_cell_angle_beta 90.00
_cell_angle_gamma 90.00
_symmetry_space_group_name_H-M 'I 4/m c m'
_symmetry_Int_Tables_number 140
_symmetry_space_group_name_Hall '-I 4 2c'
loop_
_atom_site_label
_atom_site_fract_x
_atom_site_fract_y
_atom_site_fract_z
_atom_site_occupancy
Hf1 0.0000 0.5000 0.2500 1
Tl1 0.0000 0.0000 0.2500 1
S1 0.1575 0.3425 0.0000 1
```